(1)
# TiFeNiGe PBE-GGA optimized geometry
# Uncorrected energy, eV/atom: -7.11
# Calculated formation energy, eV per atom: -0.42
# Magnetization, μB/f.u.: 0.0
# Energy above the most stable polymorph in this dataset, meV per atom: 0
data_TiFeNiGe
_space_group_name_H-M_alt 'P 1'
_space_group_IT_number 1
_space_group_name_Hall 'P 1'
_cell_length_a 3.8319
_cell_length_b 3.8319
_cell_length_c 4.3536
_cell_angle_alpha 116.10
_cell_angle_beta 116.10
_cell_angle_gamma 90.01
loop_
_atom_site_label
_atom_site_type_symbol
_atom_site_fract_x
_atom_site_fract_y
_atom_site_fract_z
Ge1 Ge 0.5000 0.5000 0.0000
Ni1 Ni 0.2500 0.7500 0.5000
Fe1 Fe 0.7500 0.2500 0.5000
Ti1 Ti 0.0000 0.0000 0.0000

---

(2)
# SrCuBi PBE-GGA optimized geometry
# Uncorrected energy, eV/atom: -2.42
# Calculated formation energy, eV per atom: 0.80
# Magnetization, μB/f.u.: 0.0
data_SrCuBi
_space_group_name_H-M_alt 'P 1'
_space_group_IT_number 1
_space_group_name_Hall 'P 1'
_cell_length_a 4.8899
_cell_length_b 4.8899
_cell_length_c 13.5081
_cell_angle_alpha 90.00
_cell_angle_beta 90.00
_cell_angle_gamma 120.00
loop_
_atom_site_label
_atom_site_type_symbol
_atom_site_fract_x
_atom_site_fract_y
_atom_site_fract_z
Bi1 Bi 0.0000 0.0000 0.5000
Sr1 Sr 0.0000 0.0000 0.2500
Cu1 Cu 0.6667 0.3333 0.7500
Cu2 Cu 0.3333 0.6667 0.2500
Bi2 Bi 0.0000 0.0000 0.0000
Sr2 Sr 0.0000 0.0000 0.7500